Sr2Pb3 PBE optimized geometry; ΔE to the lowest computed polymorph = 0 meV per atom; energy relative to the elements = -454 meV per atom; space-group type = P4/mbm, No. 127; uncorrected energy = -33.515 eV per cell
1.0
8.407 0.000 0.000
0.000 8.407 0.000
0.000 0.000 5.019
Sr Pb
4 6
direct
0.172 0.328 0.000 Sr
0.328 0.828 0.000 Sr
0.672 0.172 0.000 Sr
0.828 0.672 0.000 Sr
0.000 0.000 0.500 Pb
0.130 0.630 0.500 Pb
0.370 0.130 0.500 Pb
0.500 0.500 0.500 Pb
0.630 0.870 0.500 Pb
0.870 0.370 0.500 Pb

---

K4Pr3NpTe8 PBE optimized geometry; space-group type = R-3m, No. 166; uncorrected formation energy = -1.28 eV per atom; uncorrected energy = -77.319 eV per cell
1.0
4.639 2.678 8.232
-4.639 2.678 8.232
0.000 -5.356 8.232
K Pr Np Te
4 3 1 8
direct
0.000 0.000 0.000 K
0.000 0.500 0.500 K
0.500 0.000 0.500 K
0.500 0.500 0.000 K
0.000 0.000 0.500 Pr
0.000 0.500 0.000 Pr
0.500 0.000 0.000 Pr
0.500 0.500 0.500 Np
0.239 0.239 0.239 Te
0.242 0.736 0.736 Te
0.264 0.264 0.758 Te
0.264 0.758 0.264 Te
0.736 0.242 0.736 Te
0.736 0.736 0.242 Te
0.758 0.264 0.264 Te
0.761 0.761 0.761 Te

---

La2AlRu PBE optimized geometry; energy relative to the elements = -48 meV per atom; space-group type = R-3m, No. 166; uncorrected energy = -23.063 eV per cell
1.0
2.016 1.164 8.185
-2.016 1.164 8.185
0.000 -2.328 8.185
La Al Ru
2 1 1
direct
0.233 0.233 0.233 La
0.767 0.767 0.767 La
0.000 0.000 0.000 Al
0.500 0.500 0.500 Ru